1.
VASP calculation (PBE) on a relaxed structure of CdGaF2.

Lattice parameters (Å, degrees): 3.071 3.071 23.388 90.00 90.00 120.00
Element x y z (fractional)
Cd 0.000 0.000 0.000
Cd 0.333 0.667 0.667
Cd 0.667 0.333 0.333
Ga 0.000 0.000 0.500
Ga 0.333 0.667 0.167
Ga 0.667 0.333 0.833
F 0.000 0.000 0.412
F 0.000 0.000 0.588
F 0.333 0.667 0.079
F 0.333 0.667 0.255
F 0.667 0.333 0.745
F 0.667 0.333 0.921

The magnetic moment is 0.0 Bohr magnetons per cell. The space-group type is No. 166. For the density of states at the Fermi level, the calculation gives 4.64 states/eV/cell. The energy above the most stable polymorph in this dataset comes out at 0 meV/atom. The calculation puts the calculated volume at 15.9 Å³ per atom.


2.
VASP calculation (PBE) on a relaxed structure of Er5PaAs6.

Lattice parameters (Å, degrees): 7.064 7.064 7.062 99.58 99.58 120.01
Element x y z (fractional)
Er 0.000 0.000 0.000
Er 0.166 0.834 0.500
Er 0.332 0.668 0.000
Er 0.668 0.332 0.000
Er 0.834 0.166 0.500
Pa 0.500 0.500 0.500
As 0.086 0.417 0.251
As 0.252 0.252 0.748
As 0.417 0.086 0.251
As 0.583 0.914 0.749
As 0.748 0.748 0.252
As 0.914 0.583 0.749

The magnetic moment is 0.0 Bohr magnetons per cell. The space-group type is No. 12. Its formation energy is -1452.0 meV/atom. For the density of states at the Fermi level, the calculation gives 4.30 states/eV/cell. The calculation puts the calculated volume at 24.0 Å³ per atom.


3.
VASP calculation (PBE) on a relaxed structure of YOs3Ru.

Lattice parameters (Å, degrees): 4.700 4.700 4.700 90.00 90.00 90.00
Element x y z (fractional)
Y 0.000 0.000 0.000
Os 0.000 0.500 0.500
Os 0.500 0.000 0.500
Os 0.500 0.500 0.000
Ru 0.500 0.500 0.500

The magnetic moment is 0.0 Bohr magnetons per cell. The space-group type is No. 221. Its formation energy is 1381.5 meV/atom. For the density of states at the Fermi level, the calculation gives 5.28 states/eV/cell. The energy above the most stable polymorph in this dataset comes out at 0 meV/atom. The calculation puts the calculated volume at 20.8 Å³ per atom.


4.
VASP calculation (PBE) on a relaxed structure of Nd3TlAg.

Lattice parameters (Å, degrees): 10.582 10.582 5.397 90.00 90.00 150.46
Element x y z (fractional)
Nd 0.060 0.940 0.750
Nd 0.249 0.751 0.750
Nd 0.437 0.563 0.750
Nd 0.563 0.437 0.250
Nd 0.751 0.249 0.250
Nd 0.940 0.060 0.250
Tl 0.153 0.847 0.250
Tl 0.847 0.153 0.750
Ag 0.348 0.652 0.250
Ag 0.652 0.348 0.750

The magnetic moment is 1.0 Bohr magnetons per cell. The space-group type is No. 63. Its formation energy is -231.8 meV/atom. For the density of states at the Fermi level, the calculation gives 13.05 states/eV/cell. The energy above the most stable polymorph in this dataset comes out at 0 meV/atom. The calculation puts the calculated volume at 29.8 Å³ per atom.


5.
VASP calculation (PBE) on a relaxed structure of Pm5Tm4Sc4.

Lattice parameters (Å, degrees): 9.210 9.210 9.210 94.09 94.09 149.02
Element x y z (fractional)
Pm 0.000 0.000 0.000
Pm 0.305 0.457 0.762
Pm 0.457 0.695 0.152
Pm 0.543 0.305 0.848
Pm 0.695 0.543 0.238
Tm 0.078 0.616 0.694
Tm 0.384 0.078 0.462
Tm 0.616 0.922 0.538
Tm 0.922 0.384 0.306
Sc 0.156 0.234 0.390
Sc 0.234 0.844 0.078
Sc 0.766 0.156 0.922
Sc 0.844 0.766 0.610

The magnetic moment is 0.0 Bohr magnetons per cell. The space-group type is No. 87. Its formation energy is 49.1 meV/atom. For the density of states at the Fermi level, the calculation gives 20.22 states/eV/cell. The calculation puts the calculated volume at 29.8 Å³ per atom.


6.
VASP calculation (PBE) on a relaxed structure of Y3Ni.

Lattice parameters (Å, degrees): 5.309 5.309 5.309 90.00 90.00 90.00
Element x y z (fractional)
Y 0.000 0.000 0.500
Y 0.000 0.500 0.000
Y 0.500 0.000 0.000
Ni 0.000 0.000 0.000

The magnetic moment is 0.0 Bohr magnetons per cell. The space-group type is No. 221. Its formation energy is 253.3 meV/atom. For the density of states at the Fermi level, the calculation gives 4.48 states/eV/cell. The calculation puts the calculated volume at 37.4 Å³ per atom.


7.
VASP calculation (PBE) on a relaxed structure of LiAcAgIr.

Lattice parameters (Å, degrees): 7.014 7.014 7.014 90.00 90.00 90.00
Element x y z (fractional)
Li 0.000 0.000 0.000
Li 0.000 0.500 0.500
Li 0.500 0.000 0.500
Li 0.500 0.500 0.000
Ac 0.250 0.250 0.250
Ac 0.250 0.750 0.750
Ac 0.750 0.250 0.750
Ac 0.750 0.750 0.250
Ag 0.250 0.250 0.750
Ag 0.250 0.750 0.250
Ag 0.750 0.250 0.250
Ag 0.750 0.750 0.750
Ir 0.000 0.000 0.500
Ir 0.000 0.500 0.000
Ir 0.500 0.000 0.000
Ir 0.500 0.500 0.500

The magnetic moment is 0.0 Bohr magnetons per cell. The space-group type is No. 216. Its formation energy is -117.6 meV/atom. For the density of states at the Fermi level, the calculation gives 3.01 states/eV/cell. The calculation puts the calculated volume at 21.6 Å³ per atom.


8.
VASP calculation (PBE) on a relaxed structure of Li8Si2H.

Lattice parameters (Å, degrees): 7.332 7.332 5.465 111.62 111.62 35.65
Element x y z (fractional)
Li 0.000 0.000 0.238
Li 0.000 0.000 0.762
Li 0.208 0.208 0.708
Li 0.372 0.372 0.129
Li 0.372 0.372 0.612
Li 0.628 0.628 0.388
Li 0.628 0.628 0.871
Li 0.792 0.792 0.292
Si 0.178 0.178 0.178
Si 0.822 0.822 0.822
H 0.500 0.500 0.500

The magnetic moment is 0.0 Bohr magnetons per cell. The space-group type is No. 12. The raw total energy is -2.856 eV/atom. For the density of states at the Fermi level, the calculation gives 3.07 states/eV/cell. The calculation puts the calculated volume at 14.4 Å³ per atom.


9.
VASP calculation (PBE) on a relaxed structure of LaCeSm6Ho2.

Lattice parameters (Å, degrees): 6.649 6.649 9.018 102.33 102.33 61.75
Element x y z (fractional)
La 0.000 0.000 0.000
Ce 0.500 0.500 0.500
Sm 0.070 0.592 0.695
Sm 0.367 0.367 0.083
Sm 0.408 0.930 0.305
Sm 0.592 0.070 0.695
Sm 0.633 0.633 0.917
Sm 0.930 0.408 0.305
Ho 0.091 0.091 0.662
Ho 0.909 0.909 0.338

The magnetic moment is 1.6 Bohr magnetons per cell. The space-group type is No. 12. Its formation energy is 237.9 meV/atom. For the density of states at the Fermi level, the calculation gives 23.82 states/eV/cell. The calculation puts the calculated volume at 34.0 Å³ per atom.


10.
VASP calculation (PBE) on a relaxed structure of Re5Se.

Lattice parameters (Å, degrees): 4.824 4.824 4.528 90.00 90.00 120.00
Element x y z (fractional)
Re 0.000 0.655 0.000
Re 0.333 0.667 0.500
Re 0.345 0.345 0.000
Re 0.655 0.000 0.000
Re 0.667 0.333 0.500
Se 0.000 0.000 0.500

The magnetic moment is 0.0 Bohr magnetons per cell. The space-group type is No. 189. For the density of states at the Fermi level, the calculation gives 5.98 states/eV/cell. The energy above the most stable polymorph in this dataset comes out at 160 meV/atom. The calculation puts the calculated volume at 15.2 Å³ per atom.


11.
VASP calculation (PBE) on a relaxed structure of CuGeO3.

Lattice parameters (Å, degrees): 5.911 5.911 7.790 99.19 99.19 29.12
Element x y z (fractional)
Cu 0.120 0.120 0.434
Cu 0.880 0.880 0.566
Ge 0.399 0.399 0.211
Ge 0.601 0.601 0.789
O 0.140 0.140 0.911
O 0.325 0.325 0.398
O 0.445 0.445 0.718
O 0.555 0.555 0.282
O 0.675 0.675 0.602
O 0.860 0.860 0.089

The magnetic moment is 2.0 Bohr magnetons per cell. The space-group type is No. 12. The raw total energy is -5.855 eV/atom. For the density of states at the Fermi level, the calculation gives 0.35 states/eV/cell. The calculation puts the calculated volume at 13.1 Å³ per atom.


12.
VASP calculation (PBE) on a relaxed structure of Na2Ta2CoSe6.

Lattice parameters (Å, degrees): 6.303 6.303 7.560 96.82 96.82 120.94
Element x y z (fractional)
Na 0.183 0.817 0.000
Na 0.817 0.183 0.000
Ta 0.364 0.636 0.500
Ta 0.636 0.364 0.500
Co 0.000 0.000 0.500
Se 0.044 0.380 0.692
Se 0.243 0.243 0.268
Se 0.380 0.044 0.692
Se 0.620 0.956 0.308
Se 0.757 0.757 0.732
Se 0.956 0.620 0.308

The magnetic moment is 1.0 Bohr magnetons per cell. The space-group type is No. 12. The raw total energy is -5.648 eV/atom. For the density of states at the Fermi level, the calculation gives 5.22 states/eV/cell. The calculation puts the calculated volume at 22.7 Å³ per atom.